1.
Below is crystalline ZnHgMo2 at its relaxed geometry, with properties calculated at the PBE level.

Geometry as CIF:
```
data_ZnHgMo2
_chemical_formula_sum 'Zn4 Hg4 Mo8'
_symmetry_space_group_name_H-M 'F -4 3 m'
_symmetry_Int_Tables_number 216
_symmetry_space_group_name_Hall 'F -4 2 3'
_cell_length_a 6.453
_cell_length_b 6.453
_cell_length_c 6.453
_cell_angle_alpha 90.00
_cell_angle_beta 90.00
_cell_angle_gamma 90.00
loop_
_atom_site_label
_atom_site_fract_x
_atom_site_fract_y
_atom_site_fract_z
Zn1 0.000 0.000 0.000
Hg1 0.250 0.250 0.250
Mo1 0.000 0.000 0.500
Mo2 0.250 0.250 0.750
```

spin magnetization	0.00	μB per formula unit
formation energy from the elements	0.54	eV/atom

2.
Below is crystalline Rb2TcBr5O at its relaxed geometry, with properties calculated at the PBE level.

Geometry as CIF:
```
data_Rb2TcBr5O
_chemical_formula_sum 'Rb4 Tc2 Br10 O2'
_symmetry_space_group_name_H-M 'I 4 m m'
_symmetry_Int_Tables_number 107
_symmetry_space_group_name_Hall 'I 4 -2'
_cell_length_a 7.802
_cell_length_b 7.802
_cell_length_c 9.909
_cell_angle_alpha 90.00
_cell_angle_beta 90.00
_cell_angle_gamma 90.00
loop_
_atom_site_label
_atom_site_fract_x
_atom_site_fract_y
_atom_site_fract_z
Rb1 0.000 0.500 0.000
Tc1 0.000 0.000 0.271
Br1 0.000 0.000 0.003
Br2 0.232 0.232 0.250
O1 0.000 0.000 0.441
```

VASP energy	-35.75	eV per formula unit
spin magnetization	0.00	μB per formula unit

3.
Below is crystalline UCrPN at its relaxed geometry, with properties calculated at the PBE level.

Geometry as CIF:
```
data_UCrPN
_chemical_formula_sum 'U2 Cr2 P2 N2'
_symmetry_space_group_name_H-M 'P 4/n m m'
_symmetry_Int_Tables_number 129
_cell_length_a 3.766
_cell_length_b 3.766
_cell_length_c 8.095
_cell_angle_alpha 90.00
_cell_angle_beta 90.00
_cell_angle_gamma 90.00
loop_
_symmetry_equiv_pos_as_xyz
'x,y,z'
'-x,-y,-z'
'-y+1/2,x,z'
'y+1/2,-x,-z'
'-x+1/2,-y+1/2,z'
'x+1/2,y+1/2,-z'
'y,-x+1/2,z'
'-y,x+1/2,-z'
'x+1/2,-y,-z'
'-x+1/2,y,z'
'-y,-x,-z'
'y,x,z'
'-x,y+1/2,-z'
'x,-y+1/2,z'
'y+1/2,x+1/2,-z'
'-y+1/2,-x+1/2,z'
loop_
_atom_site_label
_atom_site_fract_x
_atom_site_fract_y
_atom_site_fract_z
U1 0.250 0.250 0.149
Cr1 0.250 0.750 0.500
P1 0.250 0.250 0.669
N1 0.250 0.750 0.000
```

VASP energy	-38.67	eV per formula unit
spin magnetization	2.02	μB per formula unit

4.
Below is crystalline Zn2RePb at its relaxed geometry, with properties calculated at the PBE level.

Geometry as CIF:
```
data_Zn2RePb
_chemical_formula_sum 'Zn8 Re4 Pb4'
_symmetry_space_group_name_H-M 'I -4 2 d'
_symmetry_Int_Tables_number 122
_symmetry_space_group_name_Hall 'I -4 2bw'
_cell_length_a 7.752
_cell_length_b 7.752
_cell_length_c 5.425
_cell_angle_alpha 90.00
_cell_angle_beta 90.00
_cell_angle_gamma 90.00
loop_
_atom_site_label
_atom_site_fract_x
_atom_site_fract_y
_atom_site_fract_z
Zn1 0.198 0.250 0.125
Re1 0.000 0.000 0.000
Pb1 0.000 0.000 0.500
```

spin magnetization	0.94	μB per formula unit
formation energy from the elements	0.80	eV/atom